# K8Rb3Au

A relaxed structure of K8Rb3Au (PBE-GGA, Alexandria via LeMat-Bulk).

a = 14.1562 Å, b = 14.1562 Å, c = 9.4950 Å
α = 90.00°, β = 90.00°, γ = 120.00°
Closest atoms and distances in Å follow each position.
Positions (direct):
K  0.0000  0.0000  0.0210  6 Rb 4.46-4.48, 2 K 4.75
K  0.0000  0.0000  0.5210  6 Rb 4.46-4.48, 2 K 4.75
K  0.0494  0.5247  0.0000  1 Au 3.52
K  0.2231  0.4461  0.2866  1 Au 3.50
K  0.2231  0.7769  0.2866  1 Au 3.50
K  0.3333  0.6667  0.6937  1 Au 3.41
K  0.4461  0.2231  0.7866  1 Au 3.50
K  0.4753  0.5247  0.0000  1 Au 3.52
K  0.4753  0.9506  0.0000  1 Au 3.52
K  0.5247  0.0494  0.5000  1 Au 3.52
K  0.5247  0.4753  0.5000  1 Au 3.52
K  0.5539  0.7769  0.2866  1 Au 3.50
K  0.6667  0.3333  0.1937  1 Au 3.41
K  0.7769  0.2231  0.7866  1 Au 3.50
K  0.7769  0.5539  0.7866  1 Au 3.50
K  0.9506  0.4753  0.5000  1 Au 3.52
Rb  0.1544  0.3087  0.7690  8 K 4.45-4.88
Rb  0.1544  0.8456  0.7690  8 K 4.45-4.88
Rb  0.3087  0.1544  0.2690  8 K 4.45-4.88
Rb  0.6913  0.8456  0.7690  8 K 4.45-4.88
Rb  0.8456  0.1544  0.2690  8 K 4.45-4.88
Rb  0.8456  0.6913  0.2690  8 K 4.45-4.88
Au  0.3333  0.6667  0.0531  7 K 3.41-3.52
Au  0.6667  0.3333  0.5531  7 K 3.41-3.52

# K12Rb6Au

A relaxed structure of K12Rb6Au (PBE-GGA, Alexandria via LeMat-Bulk).

a = 11.3904 Å, b = 11.3904 Å, c = 11.3904 Å
α = 86.52°, β = 86.52°, γ = 86.52°
Closest atoms and distances in Å follow each position.
Positions (direct):
K  0.1238  0.6011  0.1250  3 K 4.49-4.89, 5 Rb 4.55-4.73
K  0.1250  0.1238  0.6011  3 K 4.49-4.89, 5 Rb 4.55-4.73
K  0.2100  0.4972  0.4982  1 Au 3.31
K  0.3989  0.8750  0.8762  3 K 4.49-4.89, 5 Rb 4.55-4.73
K  0.4972  0.4982  0.2100  1 Au 3.31
K  0.4982  0.2100  0.4972  1 Au 3.31
K  0.5018  0.7900  0.5028  1 Au 3.31
K  0.5028  0.5018  0.7900  1 Au 3.31
K  0.6011  0.1250  0.1238  3 K 4.49-4.89, 5 Rb 4.55-4.73
K  0.7900  0.5028  0.5018  1 Au 3.31
K  0.8750  0.8762  0.3989  3 K 4.49-4.89, 5 Rb 4.55-4.73
K  0.8762  0.3989  0.8750  3 K 4.49-4.89, 5 Rb 4.55-4.73
Rb  0.0612  0.7472  0.7472  6 K 4.34-4.73
Rb  0.2528  0.2528  0.9388  6 K 4.34-4.73
Rb  0.2528  0.9388  0.2528  6 K 4.34-4.73
Rb  0.7472  0.0612  0.7472  6 K 4.34-4.73
Rb  0.7472  0.7472  0.0612  6 K 4.34-4.73
Rb  0.9388  0.2528  0.2528  6 K 4.34-4.73
Au  0.5000  0.5000  0.5000  6 K 3.31

# KRb7Au3

A relaxed structure of KRb7Au3 (PBE-GGA, Alexandria via LeMat-Bulk).

a = 9.8817 Å, b = 9.8817 Å, c = 8.2099 Å
α = 90.00°, β = 90.00°, γ = 120.00°
Closest atoms and distances in Å follow each position.
Positions (direct):
K  0.0000  0.0000  0.0000  3 Au 3.35
Rb  0.0024  0.5012  0.9826  2 Au 3.48
Rb  0.3268  0.1634  0.4740  2 Au 3.48
Rb  0.3333  0.6667  0.4580  3 Au 3.48
Rb  0.4988  0.5012  0.9826  2 Au 3.48
Rb  0.4988  0.9976  0.9826  2 Au 3.48
Rb  0.8366  0.1634  0.4740  2 Au 3.48
Rb  0.8366  0.6732  0.4740  2 Au 3.48
Au  0.1641  0.3281  0.2230  1 K 3.35, 5 Rb 3.48
Au  0.1641  0.8359  0.2230  1 K 3.35, 5 Rb 3.48
Au  0.6719  0.8359  0.2230  1 K 3.35, 5 Rb 3.48

Results
The value obtained for the energy above the lowest structure with this stoichiometry is 5.5 meV/atom.

# K4Rb3Au4

A relaxed structure of K4Rb3Au4 (PBE-GGA, Alexandria via LeMat-Bulk).

a = 8.8193 Å, b = 8.8193 Å, c = 8.8193 Å
α = 109.47°, β = 109.47°, γ = 109.47°
Closest atoms and distances in Å follow each position.
Positions (direct):
K  0.0000  0.0000  0.6986  4 Au 3.16-3.28
K  0.0000  0.6986  0.0000  4 Au 3.16-3.28
K  0.3014  0.3014  0.3014  4 Au 3.16-3.28
K  0.6986  0.0000  0.0000  4 Au 3.16-3.28
Rb  0.0000  0.5000  0.5000  4 Au 4.16, 4 K 4.17
Rb  0.5000  0.0000  0.5000  4 Au 4.16, 4 K 4.17
Rb  0.5000  0.5000  0.0000  4 Au 4.16, 4 K 4.17
Au  0.0000  0.0000  0.3408  4 K 3.16-3.28
Au  0.0000  0.3408  0.0000  4 K 3.16-3.28
Au  0.3408  0.0000  0.0000  4 K 3.16-3.28
Au  0.6592  0.6592  0.6592  4 K 3.16-3.28

Results
The value obtained for the energy above the lowest structure with this stoichiometry is 67.0 meV/atom.

# K2Rb6Au

A relaxed structure of K2Rb6Au (PBE-GGA, Alexandria via LeMat-Bulk).

a = 9.8696 Å, b = 9.8696 Å, c = 9.8718 Å
α = 120.01°, β = 120.01°, γ = 60.02°
Closest atoms and distances in Å follow each position.
Positions (direct):
K  0.2500  0.2500  0.2497  12 Rb 4.93-4.94
K  0.7500  0.7500  0.7503  12 Rb 4.93-4.94
Rb  0.2481  0.2481  0.7475  1 Au 3.46
Rb  0.2477  0.7519  0.2518  1 Au 3.46
Rb  0.2481  0.7523  0.7482  1 Au 3.46
Rb  0.7519  0.2477  0.2518  1 Au 3.46
Rb  0.7523  0.2481  0.7482  1 Au 3.46
Rb  0.7519  0.7519  0.2525  1 Au 3.46
Au  0.0000  0.0000  0.5000  6 Rb 3.46

Results
The value obtained for the energy above the lowest structure with this stoichiometry is 0.0 meV/atom.

# K8RbAu5

A relaxed structure of K8RbAu5 (PBE-GGA, Alexandria via LeMat-Bulk).

a = 13.0235 Å, b = 13.0235 Å, c = 11.1771 Å
α = 104.67°, β = 104.67°, γ = 22.05°
Closest atoms and distances in Å follow each position.
Positions (direct):
K  0.0000  0.0000  0.0000  5 Au 3.33-3.36
K  0.0750  0.0750  0.6848  3 Au 3.37
K  0.1514  0.1514  0.3054  3 Au 3.35
K  0.3539  0.3539  0.0270  3 Au 3.35
K  0.4299  0.4299  0.6478  3 Au 3.37
K  0.5052  0.5052  0.3329  5 Au 3.33-3.36
K  0.6831  0.6831  0.9985  4 Au 3.29-3.36
K  0.8219  0.8219  0.3336  4 Au 3.29-3.36
Rb  0.7525  0.7525  0.6662  6 K 4.51-4.88, 2 Rb 4.98
Au  0.2526  0.2526  0.1658  6 K 3.34-3.35
Au  0.5494  0.5494  0.8645  1 Au 2.91
Au  0.5830  0.5830  0.1336  1 Au 2.91
Au  0.9222  0.9222  0.1991  1 Au 2.91
Au  0.9555  0.9555  0.4682  1 Au 2.91

Number 1: DFT formation energy -0.04 eV per atom. Number 2: DFT formation energy 0.01 eV per atom. Number 3: DFT formation energy -0.15 eV per atom. Number 4: DFT formation energy -0.14 eV per atom. Number 5: DFT formation energy -0.07 eV per atom. Number 6: DFT formation energy -0.20 eV per atom.